<1>
MnSeS2Cl after structural relaxation. Source: Alexandria via LeMat-Bulk, functional PBEsol.

a b c (Å): 4.581 4.581 4.852
angles (deg): 90.00 90.00 90.00
Space group P4/mmm (No. 123)
Symmetry-distinct sites (fractional):
Mn1 0.000 0.000 0.000 x1
Se1 0.500 0.500 0.000 x1
S1 0.000 0.500 0.500 x2
Cl1 0.000 0.000 0.500 x1

Results
The calculation puts the calculated volume at 20.4 Å³/atom. The density of states at the Fermi level comes out at 4.9 states/eV/f.u.

=====

<2>
MnSeS2Cl after structural relaxation. Source: Alexandria via LeMat-Bulk, functional PBEsol.

a b c (Å): 4.526 4.526 4.404
angles (deg): 90.00 90.00 90.00
Space group P4/mmm (No. 123)
Symmetry-distinct sites (fractional):
Mn1 0.000 0.000 0.000 x1
Se1 0.500 0.500 0.500 x1
S1 0.000 0.500 0.000 x2
Cl1 0.000 0.000 0.500 x1

Results
The calculation puts the calculated volume at 18.0 Å³/atom. The density of states at the Fermi level comes out at 4.2 states/eV/f.u.

=====

Going by the computed energies, the most stable comes first: <2>, <1>.

=====

<1>
MnSiSCl2 after structural relaxation. Source: Alexandria via LeMat-Bulk, functional PBEsol.

a b c (Å): 4.598 4.598 4.733
angles (deg): 90.00 90.00 90.00
Space group P4/mmm (No. 123)
Symmetry-distinct sites (fractional):
Mn1 0.000 0.000 0.000 x1
Si1 0.500 0.500 0.500 x1
S1 0.000 0.000 0.500 x1
Cl1 0.000 0.500 0.000 x2

Results
The calculation puts the calculated volume at 20.0 Å³/atom. The density of states at the Fermi level comes out at 3.0 states/eV/f.u.

=====

<2>
MnSiSCl2 after structural relaxation. Source: Alexandria via LeMat-Bulk, functional PBEsol.

a b c (Å): 4.629 4.629 4.715
angles (deg): 90.00 90.00 90.00
Space group P4/mmm (No. 123)
Symmetry-distinct sites (fractional):
Mn1 0.000 0.000 0.000 x1
Si1 0.500 0.500 0.500 x1
S1 0.500 0.500 0.000 x1
Cl1 0.000 0.500 0.500 x2

Results
The calculation puts the calculated volume at 20.2 Å³/atom. The density of states at the Fermi level comes out at 2.6 states/eV/f.u.

=====

Going by the computed energies, the most stable comes first: <1>, <2>.

=====

<1>
Mn2SbCl after structural relaxation. Source: Alexandria via LeMat-Bulk, functional PBEsol.

a b c (Å): 3.672 5.329 4.189
angles (deg): 90.00 90.00 90.00
Space group Pmm2 (No. 25)
Symmetry-distinct sites (fractional):
Mn1 0.000 0.000 0.000 x1
Mn2 0.500 0.500 0.345 x1
Sb1 0.500 0.000 0.496 x1
Cl1 0.000 0.500 0.947 x1

Results
The calculation puts the calculated volume at 20.5 Å³/atom. The density of states at the Fermi level comes out at 2.2 states/eV/f.u.

=====

<2>
Mn2SbCl after structural relaxation. Source: Alexandria via LeMat-Bulk, functional PBEsol.

a b c (Å): 3.023 3.023 8.250
angles (deg): 90.00 90.00 90.00
Space group P4mm (No. 99)
Symmetry-distinct sites (fractional):
Mn1 0.000 0.000 0.000 x1
Mn2 0.500 0.500 0.182 x1
Sb1 0.000 0.000 0.415 x1
Cl1 0.500 0.500 0.825 x1

Results
The calculation puts the calculated volume at 18.8 Å³/atom. The density of states at the Fermi level comes out at 3.3 states/eV/f.u.

=====

Going by the computed energies, the most stable comes first: <2>, <1>.

=====

<1>
TaMnCl2 after structural relaxation. Source: Alexandria via LeMat-Bulk, functional PBEsol.

a b c (Å): 6.378 6.378 6.378
angles (deg): 90.00 90.00 90.00
Space group F-43m (No. 216)
Symmetry-distinct sites (fractional):
Ta1 0.000 0.000 0.000 x4
Mn1 0.250 0.250 0.750 x4
Cl1 0.000 0.000 0.500 x4
Cl2 0.250 0.250 0.250 x4

Results
The calculation puts the calculated volume at 16.2 Å³/atom. The density of states at the Fermi level comes out at 2.9 states/eV/f.u.

=====

<2>
TaMnCl2 after structural relaxation. Source: Alexandria via LeMat-Bulk, functional PBEsol.

a b c (Å): 2.965 2.965 8.058
angles (deg): 90.00 90.00 90.00
Space group P4mm (No. 99)
Symmetry-distinct sites (fractional):
Ta1 0.000 0.000 0.000 x1
Mn1 0.500 0.500 0.762 x1
Cl1 0.000 0.000 0.580 x1
Cl2 0.500 0.500 0.203 x1

Results
The calculation puts the calculated volume at 17.7 Å³/atom. The density of states at the Fermi level comes out at 1.9 states/eV/f.u.

=====

<3>
TaMnCl2 after structural relaxation. Source: Alexandria via LeMat-Bulk, functional PBEsol.

a b c (Å): 3.051 4.329 13.062
angles (deg): 90.00 90.00 90.00
Space group Immm (No. 71)
Symmetry-distinct sites (fractional):
Ta1 0.000 0.000 0.000 x2
Mn1 0.000 0.000 0.500 x2
Cl1 0.000 0.500 0.349 x4

Results
The calculation puts the calculated volume at 21.6 Å³/atom. The density of states at the Fermi level comes out at 3.1 states/eV/f.u.

=====

Going by the computed energies, the most stable comes first: <2>, <3>, <1>.

=====

<1>
TaMnCl2 after structural relaxation. Source: Alexandria via LeMat-Bulk, functional PBEsol.

a b c (Å): 5.722 8.303 3.034
angles (deg): 90.00 114.06 90.00
Space group C2/m (No. 12)
Symmetry-distinct sites (fractional):
Ta1 0.000 0.000 0.000 x2
Mn1 0.000 0.500 0.000 x2
Cl1 0.250 0.250 0.000 x4

Results
The calculation puts the calculated volume at 16.5 Å³/atom. The density of states at the Fermi level comes out at 1.9 states/eV/f.u.

=====

<2>
TaMnCl2 after structural relaxation. Source: Alexandria via LeMat-Bulk, functional PBEsol.

a b c (Å): 6.114 6.114 6.114
angles (deg): 90.00 90.00 90.00
Space group Fm-3m (No. 225)
Symmetry-distinct sites (fractional):
Ta1 0.000 0.000 0.000 x4
Mn1 0.000 0.000 0.500 x4
Cl1 0.250 0.250 0.250 x8

Results
The calculation puts the calculated volume at 14.3 Å³/atom. The density of states at the Fermi level comes out at 5.3 states/eV/f.u.

=====

<3>
TaMnCl2 after structural relaxation. Source: Alexandria via LeMat-Bulk, functional PBEsol.

a b c (Å): 4.441 4.441 3.015
angles (deg): 90.00 90.00 90.00
Space group P4/mmm (No. 123)
Symmetry-distinct sites (fractional):
Ta1 0.000 0.000 0.000 x1
Mn1 0.500 0.500 0.000 x1
Cl1 0.000 0.500 0.500 x2

Results
The calculation puts the calculated volume at 14.9 Å³/atom. The density of states at the Fermi level comes out at 3.4 states/eV/f.u.

=====

Going by the computed energies, the most stable comes first: <1>, <2>, <3>.

=====

<1>
MnTe2Cl after structural relaxation. Source: Alexandria via LeMat-Bulk, functional PBEsol.

a b c (Å): 3.651 4.961 13.067
angles (deg): 90.00 90.00 90.00
Space group Amm2 (No. 38)
Symmetry-distinct sites (fractional):
Mn1 0.000 0.000 0.000 x2
Te1 0.000 0.000 0.600 x2
Te2 0.500 0.000 0.152 x2
Cl1 0.500 0.000 0.884 x2

Results
The calculation puts the calculated volume at 29.6 Å³/atom. The density of states at the Fermi level comes out at 1.5 states/eV/f.u.

=====

<2>
MnTe2Cl after structural relaxation. Source: Alexandria via LeMat-Bulk, functional PBEsol.

a b c (Å): 3.677 5.226 10.186
angles (deg): 90.00 90.00 90.00
Space group Cmm2 (No. 35)
Symmetry-distinct sites (fractional):
Mn1 0.000 0.000 0.000 x2
Te1 0.000 0.000 0.509 x2
Te2 0.000 0.500 0.193 x2
Cl1 0.000 0.500 0.851 x2

Results
The calculation puts the calculated volume at 24.5 Å³/atom. The density of states at the Fermi level comes out at 2.5 states/eV/f.u.

=====

Going by the computed energies, the most stable comes first: <1>, <2>.

=====

<1>
MnTlCl3 after structural relaxation. Source: Alexandria via LeMat-Bulk, functional PBEsol.

a b c (Å): 4.942 4.942 4.942
angles (deg): 90.00 90.00 90.00
Space group Pm-3m (No. 221)
Symmetry-distinct sites (fractional):
Mn1 0.000 0.000 0.000 x1
Tl1 0.500 0.500 0.500 x1
Cl1 0.000 0.000 0.500 x3

Results
The calculation puts the calculated volume at 24.1 Å³/atom.

=====

<2>
MnTlCl3 after structural relaxation. Source: Alexandria via LeMat-Bulk, functional PBEsol.

a b c (Å): 6.979 9.924 6.914
angles (deg): 90.00 90.00 90.00
Space group Pnma (No. 62)
Symmetry-distinct sites (fractional):
Mn1 0.000 0.000 0.000 x4
Tl1 0.041 0.250 0.491 x4
Cl1 0.001 0.750 0.049 x4
Cl2 0.213 0.524 0.713 x8

Results
The calculation puts the calculated volume at 23.9 Å³/atom.

=====

Going by the computed energies, the most stable comes first: <2>, <1>.

=====

<1>
YMn2Cl after structural relaxation. Source: Alexandria via LeMat-Bulk, functional PBEsol.

a b c (Å): 6.707 6.707 6.707
angles (deg): 90.00 90.00 90.00
Space group Fm-3m (No. 225)
Symmetry-distinct sites (fractional):
Y1 0.000 0.000 0.000 x4
Mn1 0.250 0.250 0.250 x8
Cl1 0.000 0.000 0.500 x4

Results
The calculation puts the calculated volume at 18.9 Å³/atom. The density of states at the Fermi level comes out at 6.1 states/eV/f.u.

=====

<2>
YMn2Cl after structural relaxation. Source: Alexandria via LeMat-Bulk, functional PBEsol.

a b c (Å): 3.6017 3.6017 20.9205
angles (deg): 90.00 90.00 120.00
Space group R3m (No. 160, hexagonal axes)
Symmetry-distinct sites (fractional):
Y1 0.0000 0.0000 0.0000 x3
Mn1 0.0000 0.0000 0.2450 x3
Mn2 0.0000 0.0000 0.5566 x3
Cl1 0.0000 0.0000 0.7532 x3

Results
The calculation puts the calculated volume at 19.6 Å³/atom. The density of states at the Fermi level comes out at 3.9 states/eV/f.u.

=====

<3>
YMn2Cl after structural relaxation. Source: Alexandria via LeMat-Bulk, functional PBEsol.

a b c (Å): 3.773 3.773 10.438
angles (deg): 90.00 90.00 90.00
Space group I4/mmm (No. 139)
Symmetry-distinct sites (fractional):
Y1 0.000 0.000 0.000 x2
Mn1 0.000 0.500 0.250 x4
Cl1 0.000 0.000 0.500 x2

Results
The calculation puts the calculated volume at 18.6 Å³/atom. The density of states at the Fermi level comes out at 5.7 states/eV/f.u.

=====

Going by the computed energies, the most stable comes first: <2>, <3>, <1>.